(P)
Here is crystalline La4PmEr4 at its relaxed geometry from Alexandria. Energies are from PBE.

## Properties
Its crystal system is tetragonal. As for the space-group type: I4/mmm (139).

POSCAR file:
```
La4PmEr4
1.0
-5.4372 5.4372 2.5749
5.4372 -5.4372 2.5749
5.4372 5.4372 -2.5749
La Pm Er
4 1 4
Cartesian
1.8204 1.8204 0.0000
3.6168 -3.6168 2.5749
-3.6168 3.6168 2.5749
3.6168 3.6168 2.5749
0.0000 0.0000 2.5749
5.4372 1.7642 0.0000
1.7642 5.4372 0.0000
3.6730 0.0000 2.5749
0.0000 3.6730 2.5749
```

(Q)
Here is crystalline La4PmEr4 at its relaxed geometry from Alexandria. Energies are from PBE.

## Properties
Its crystal system is tetragonal. As for the space-group type: I-42m (121).

POSCAR file:
```
La4PmEr4
1.0
-3.0417 3.0417 9.9096
3.0417 -3.0417 9.9096
3.0417 3.0417 -9.9096
La Pm Er
4 1 4
Cartesian
3.0417 0.0000 0.0000
0.0000 0.0000 2.8160
0.0000 3.0417 0.0000
0.0000 0.0000 17.0031
0.0000 0.0000 0.0000
1.0992 -1.0992 5.8193
-1.0992 1.0992 5.8193
1.9425 1.9425 4.0903
1.0992 1.0992 13.9999
```

We find (P) to be the most stable, with the next structure 664 meV/atom higher.

(P)
Here is crystalline LaPmEr4 at its relaxed geometry from Alexandria. Energies are from PBE.

## Properties
Its crystal system is monoclinic. As for the space-group type: C2/m (12).

POSCAR file:
```
LaPmEr4
1.0
5.6525 -2.5199 0.0000
5.6525 2.5199 0.0000
-2.2675 0.0000 6.7901
La Pm Er
1 1 4
Cartesian
0.0000 0.0000 0.0000
-1.1337 0.0000 3.3950
2.2314 0.0000 4.5099
3.3779 0.0000 1.1380
5.6596 0.0000 5.6521
6.8062 0.0000 2.2802
```

(Q)
Here is crystalline LaPmEr4 at its relaxed geometry from Alexandria. Energies are from PBE.

## Properties
Its crystal system is cubic. As for the space-group type: F-43m (216).

POSCAR file:
```
LaPmEr4
1.0
0.0000 4.7040 4.7040
4.7040 0.0000 4.7040
4.7040 4.7040 0.0000
La Pm Er
1 1 4
Cartesian
0.0000 0.0000 0.0000
7.0561 7.0561 7.0561
3.5328 3.5328 3.5328
5.8753 5.8753 3.5328
5.8753 3.5328 5.8753
3.5328 5.8753 5.8753
```

We find (P) to be the most stable, with the next structure 252 meV/atom higher.

(P)
Here is crystalline LaPm2Er2 at its relaxed geometry from Alexandria. Energies are from PBE.

## Properties
Its crystal system is monoclinic. As for the space-group type: C2/c (15).

POSCAR file:
```
LaPm2Er2
1.0
4.6131 -4.3526 0.0000
4.6131 4.3526 0.0000
-4.4966 0.0000 8.3791
La Pm Er
2 4 4
Cartesian
1.2406 3.7199 6.2843
3.4890 -3.7199 2.0948
-0.2555 0.6366 5.5434
1.9928 -0.6366 1.3538
2.7368 0.6366 7.0252
4.9851 -0.6366 2.8357
4.0245 1.7739 0.3934
2.9534 1.7739 3.7961
1.7762 -1.7739 4.5830
0.7051 -1.7739 7.9857
```

(Q)
Here is crystalline LaPm2Er2 at its relaxed geometry from Alexandria. Energies are from PBE.

## Properties
Its crystal system is tetragonal. As for the space-group type: P4/mbm (127).

POSCAR file:
```
LaPm2Er2
1.0
9.4680 0.0000 0.0000
0.0000 9.4680 0.0000
0.0000 0.0000 3.8162
La Pm Er
2 4 4
Cartesian
0.0000 0.0000 0.0000
4.7340 4.7340 0.0000
1.2048 3.5292 0.0000
3.5292 8.2632 0.0000
5.9388 1.2048 0.0000
8.2632 5.9388 0.0000
1.6041 6.3381 1.9081
3.1299 1.6041 1.9081
6.3381 7.8639 1.9081
7.8639 3.1299 1.9081
```

We find (Q) to be the most stable, with the next structure 47 meV/atom higher.

(P)
Here is crystalline La3Pm2Er3 at its relaxed geometry from Alexandria. Energies are from PBE.

## Properties
Its crystal system is orthorhombic. As for the space-group type: Immm (71).

POSCAR file:
```
La3Pm2Er3
1.0
-2.5293 2.5859 10.3697
2.5293 -2.5859 10.3697
2.5293 2.5859 -10.3697
La Pm Er
3 2 3
Cartesian
0.0000 0.0000 0.0000
2.5293 0.0000 7.8288
0.0000 2.5859 2.5410
0.0000 0.0000 5.1569
0.0000 0.0000 15.5825
2.5293 0.0000 2.6192
0.0000 0.0000 10.3697
0.0000 2.5859 7.7505
```

(Q)
Here is crystalline La3Pm2Er3 at its relaxed geometry from Alexandria. Energies are from PBE.

## Properties
Its crystal system is monoclinic. As for the space-group type: C2/m (12).

POSCAR file:
```
La3Pm2Er3
1.0
8.1603 -2.9832 0.0000
8.1603 2.9832 0.0000
-2.2098 0.0000 5.5870
La Pm Er
3 2 3
Cartesian
0.0000 0.0000 0.0000
0.9746 0.0000 3.6250
13.1362 0.0000 1.9620
3.5711 0.0000 1.4259
10.5397 0.0000 4.1611
4.2482 0.0000 4.9217
7.0554 0.0000 2.7935
9.8626 0.0000 0.6653
```

We find (P) to be the most stable, with the next structure 89 meV/atom higher.

(P)
Here is crystalline La4Pm5Er2 at its relaxed geometry from Alexandria. Energies are from PBE.

## Properties
Its crystal system is orthorhombic. As for the space-group type: Immm (71).

POSCAR file:
```
La4Pm5Er2
1.0
-1.7697 4.7705 11.5570
1.7697 -4.7705 11.5570
1.7697 4.7705 -11.5570
La Pm Er
4 5 2
Cartesian
0.0000 0.0000 2.1559
1.7697 2.0077 0.0000
0.0000 2.7628 11.5570
0.0000 0.0000 20.9581
1.7697 2.8208 -3.5324
1.7697 2.8208 3.5324
0.0000 4.7705 0.0000
0.0000 1.9496 8.0247
0.0000 1.9496 15.0894
0.0000 0.0000 5.2822
0.0000 0.0000 17.8318
```

(Q)
Here is crystalline La4Pm5Er2 at its relaxed geometry from Alexandria. Energies are from PBE.

## Properties
Its crystal system is monoclinic. As for the space-group type: C2/m (12).

POSCAR file:
```
La4Pm5Er2
1.0
8.9862 -1.7956 0.0000
8.9862 1.7956 0.0000
-0.8584 0.0000 11.8462
La Pm Er
4 5 2
Cartesian
0.4956 0.0000 3.1143
6.2627 0.0000 2.4314
10.8513 0.0000 9.4149
16.6184 0.0000 8.7319
1.2745 0.0000 6.3806
3.1548 0.0000 0.8770
8.9862 0.0000 0.0000
13.9592 0.0000 10.9692
15.8395 0.0000 5.4656
4.5464 0.0000 7.5476
12.5676 0.0000 4.2986
```

We find (Q) to be the most stable, with the next structure 171 meV/atom higher.

(P)
Here is crystalline La7Pm4Er at its relaxed geometry from Alexandria. Energies are from PBE.

## Properties
Its crystal system is triclinic. As for the space-group type: P-1 (2).

POSCAR file:
```
La7Pm4Er
1.0
6.4499 0.0000 0.0000
-0.0013 7.4112 0.0000
-2.1411 -0.0139 8.9615
La Pm Er
7 4 1
Cartesian
0.0000 0.0000 0.0000
-0.0146 3.6907 5.9847
1.0960 5.5525 2.9740
3.2227 1.8670 0.0074
1.0847 5.5303 8.9541
3.2115 1.8448 5.9875
4.3221 3.7066 2.9769
0.0061 7.4013 5.9839
1.0840 1.8489 2.9433
3.2235 5.5484 6.0182
4.3014 -0.0041 2.9776
-0.0007 3.7056 0.0000
```

(Q)
Here is crystalline La7Pm4Er at its relaxed geometry from Alexandria. Energies are from PBE.

## Properties
Its crystal system is monoclinic. As for the space-group type: C2/m (12).

POSCAR file:
```
La7Pm4Er
1.0
8.4088 -3.0743 0.0000
8.4088 3.0743 0.0000
-5.2506 0.0000 8.3354
La Pm Er
7 4 1
Cartesian
0.0000 0.0000 0.0000
0.3366 0.0000 5.8412
4.6332 0.0000 0.8850
4.0963 0.0000 4.7441
7.4706 0.0000 3.5912
6.9338 0.0000 7.4503
11.2304 0.0000 2.4942
-3.0010 0.0000 5.9555
1.3644 0.0000 2.7313
10.2026 0.0000 5.6040
14.5680 0.0000 2.3798
8.4088 0.0000 0.0000
```

We find (P) to be the most stable, with the next structure 199 meV/atom higher.

(P)
Here is crystalline LaPmEr5 at its relaxed geometry from Alexandria. Energies are from PBE.

## Properties
Its crystal system is monoclinic. As for the space-group type: C2/c (15).

POSCAR file:
```
LaPmEr5
1.0
5.8147 -3.4552 0.0000
5.8147 3.4552 0.0000
-3.8578 0.0000 11.4151
La Pm Er
2 2 10
Cartesian
2.9213 3.2819 8.5613
4.8502 -3.2819 2.8538
2.9073 1.7276 0.0000
0.9784 -1.7276 5.7075
0.3678 0.9583 8.5141
2.9317 1.4640 5.7256
2.9109 1.4640 11.3970
4.8502 0.6374 2.8538
2.2966 -0.9583 2.8066
5.4749 0.9583 8.6084
2.9213 -0.6374 8.5613
4.8606 -1.4640 0.0180
4.8398 -1.4640 5.6895
7.4038 -0.9583 2.9009
```

(Q)
Here is crystalline LaPmEr5 at its relaxed geometry from Alexandria. Energies are from PBE.

## Properties
Its crystal system is orthorhombic. As for the space-group type: Immm (71).

POSCAR file:
```
LaPmEr5
1.0
-2.8791 4.3102 5.9078
2.8791 -4.3102 5.9078
2.8791 4.3102 -5.9078
La Pm Er
1 1 5
Cartesian
0.0000 0.0000 0.0000
0.0000 0.0000 5.9078
2.8791 1.5456 0.0000
0.0000 0.0000 3.0033
0.0000 4.3102 0.0000
0.0000 0.0000 8.8123
0.0000 2.7646 5.9078
```

We find (P) to be the most stable, with the next structure 914 meV/atom higher.

(P)
Here is crystalline LaPm2Er5 at its relaxed geometry from Alexandria. Energies are from PBE.

## Properties
Its crystal system is orthorhombic. As for the space-group type: Immm (71).

POSCAR file:
```
LaPm2Er5
1.0
-1.7791 5.5807 6.5554
1.7791 -5.5807 6.5554
1.7791 5.5807 -6.5554
La Pm Er
1 2 5
Cartesian
0.0000 0.0000 0.0000
1.7791 0.0000 3.1808
0.0000 5.5807 3.3746
1.7791 3.0329 -1.7403
1.7791 3.0329 1.7403
0.0000 5.5807 0.0000
0.0000 2.5478 4.8151
0.0000 2.5478 8.2957
```

(Q)
Here is crystalline LaPm2Er5 at its relaxed geometry from Alexandria. Energies are from PBE.

## Properties
Its crystal system is orthorhombic. As for the space-group type: Pbam (55).

POSCAR file:
```
LaPm2Er5
1.0
7.1419 0.0000 0.0000
0.0000 14.3064 0.0000
0.0000 0.0000 5.0577
La Pm Er
2 4 10
Cartesian
0.0000 0.0000 0.0000
3.5709 7.1532 0.0000
1.7563 5.3413 2.5288
1.8146 12.4945 2.5288
5.3272 1.8119 2.5288
5.3856 8.9651 2.5288
0.0000 7.1532 0.0000
0.0289 10.6986 0.0000
1.7696 1.8060 2.5288
1.8013 8.9592 2.5288
3.5421 3.5454 0.0000
3.5709 0.0000 0.0000
3.5998 10.7610 0.0000
5.3405 5.3472 2.5288
5.3723 12.5004 2.5288
7.1130 3.6078 0.0000
```

We find (Q) to be the most stable, with the next structure 8 meV/atom higher.